Record 1
Tl8SbS2 | PBE | relaxed

Unit cell a=4.014 b=8.293 c=10.664 alpha=81.73 beta=100.85 gamma=90.00
Positions (direct):
Tl  0.584  0.614  0.169
Tl  0.340  0.014  0.681
Tl  0.211  0.336  0.421
Tl  0.951  0.741  0.901
Tl  0.789  0.664  0.579
Tl  0.660  0.986  0.319
Tl  0.416  0.386  0.831
Tl  0.049  0.259  0.099
Sb  0.500  0.000  0.000
S  0.180  0.703  0.360
S  0.820  0.297  0.640

***

Record 2
Tl2SbS4 | PBE | relaxed

Unit cell a=8.125 b=8.202 c=8.202 alpha=60.10 beta=60.31 gamma=60.31
Positions (direct):
Tl  0.121  0.129  0.629
Tl  0.500  0.000  0.000
Tl  0.500  0.500  0.500
Tl  0.879  0.871  0.371
Sb  0.000  0.500  0.000
Sb  0.500  0.500  0.000
S  0.257  0.261  0.226
S  0.257  0.726  0.761
S  0.258  0.261  0.761
S  0.719  0.261  0.761
S  0.281  0.739  0.239
S  0.743  0.274  0.239
S  0.742  0.739  0.239
S  0.743  0.739  0.774

***

Number 1: energy -2.97 eV per atom, formation energy without anion corrections -0.126 eV/atom, total magnetization 0.0 Bohr magnetons per cell. Number 2: energy -3.73 eV per atom, formation energy without anion corrections -0.110 eV/atom, total magnetization 0.0 Bohr magnetons per cell.